# CrGaAg2As

CrGaAg2As after structural relaxation (PBE-GGA, Alexandria).

Output
final energy	-4.127	eV per atom
mass density	5.81	Mg/m³

Unit cell a=4.968 b=4.968 c=4.774 alpha=90.00 beta=90.00 gamma=90.00
Space group P4/mmm (No. 123)
Inequivalent atoms, fractional coordinates:
Cr 0.000 0.000 0.000 [1 per cell]
Ga 0.500 0.500 0.000 [1 per cell]
Ag 0.000 0.500 0.500 [2 per cell]
As 0.000 0.000 0.500 [1 per cell]